(1)
Compound: ZrCd
Source: Alexandria
Functional: PBEsol
Structure: relaxed

extended XYZ file:
```
4
Lattice="5.3367 -1.6069 0.0000 5.3367 1.6069 0.0000 -1.9712 0.0000 4.8469" Properties=species:S:1:pos:R:3 pbc="T T T"
Zr 0.4810 0.0000 2.0623
Zr 8.2212 0.0000 2.7846
Cd 3.8168 0.0000 0.3227
Cd 4.8853 0.0000 4.5242
```

The energy of formation from the pure elements is -0.113 eV per atom. As for the crystal system: monoclinic. The space group is C2/m (12). The value obtained for the density of states at the Fermi level is 3.308 states/eV/cell.

=====

(2)
Compound: ZrCd2
Source: Alexandria
Functional: PBEsol
Structure: relaxed

extended XYZ file:
```
12
Lattice="6.1723 0.0000 0.0000 0.0000 4.4218 0.0000 0.0000 0.0000 8.9831" Properties=species:S:1:pos:R:3 pbc="T T T"
Zr 0.8740 1.1054 0.7188
Zr 2.2121 3.3163 5.2104
Zr 3.9601 1.1054 3.7727
Zr 5.2983 3.3163 8.2643
Cd 0.5459 1.1054 6.6626
Cd 0.8794 1.1054 3.7192
Cd 2.2067 3.3163 8.2107
Cd 2.5402 3.3163 2.1710
Cd 3.6321 1.1054 6.8121
Cd 3.9656 1.1054 0.7724
Cd 5.2929 3.3163 5.2640
Cd 5.6264 3.3163 2.3206
```

The energy of formation from the pure elements is -0.109 eV per atom. As for the crystal system: orthorhombic. The space group is Pnma (62). The value obtained for the density of states at the Fermi level is 7.952 states/eV/cell.

=====

(3)
Compound: ZrCd2
Source: Alexandria
Functional: PBEsol
Structure: relaxed

extended XYZ file:
```
6
Lattice="4.8714 0.0000 0.0000 -2.4357 4.2188 0.0000 0.0000 0.0000 5.9569" Properties=species:S:1:pos:R:3 pbc="T T T"
Zr 0.0000 2.8125 1.4892
Zr 2.4357 1.4063 4.4677
Cd 0.0000 0.0000 0.0000
Cd 0.0000 0.0000 2.9785
Cd 0.0000 2.8125 4.4677
Cd 2.4357 1.4063 1.4892
```

The energy of formation from the pure elements is -0.065 eV per atom. As for the crystal system: hexagonal. The space group is P6_3/mmc (194). The value obtained for the density of states at the Fermi level is 2.417 states/eV/cell.

=====

(4)
Compound: ZrCd2
Source: Alexandria
Functional: PBEsol
Structure: relaxed

extended XYZ file:
```
3
Lattice="3.0391 0.0000 0.0000 -1.5195 2.6319 0.0000 0.0000 0.0000 7.7379" Properties=species:S:1:pos:R:3 pbc="T T T"
Zr 0.0000 0.0000 0.0000
Cd 0.0000 1.7546 5.1380
Cd 1.5195 0.8773 2.5999
```

The energy of formation from the pure elements is -0.041 eV per atom. As for the crystal system: trigonal. The space group is P-3m1 (164). The value obtained for the density of states at the Fermi level is 1.339 states/eV/cell.

=====

(5)
Compound: Zr2Cd
Source: Alexandria
Functional: PBEsol
Structure: relaxed

extended XYZ file:
```
6
Lattice="2.1313 -6.8591 0.0000 2.1313 6.8591 0.0000 0.0000 0.0000 4.3417" Properties=species:S:1:pos:R:3 pbc="T T T"
Zr 2.1313 5.7409 3.2563
Zr 2.1313 3.5258 1.0854
Zr 2.1313 -3.5258 3.2563
Zr 2.1313 -5.7409 1.0854
Cd 2.1313 1.1410 3.2563
Cd 2.1313 -1.1410 1.0854
```

The energy of formation from the pure elements is -0.084 eV per atom. As for the crystal system: orthorhombic. The space group is Cmcm (63). The value obtained for the density of states at the Fermi level is 6.071 states/eV/cell.

=====

(6)
Compound: Zr3Cd
Source: Alexandria
Functional: PBEsol
Structure: relaxed

extended XYZ file:
```
4
Lattice="5.2456 -1.5617 0.0000 5.2456 1.5617 0.0000 -1.0870 0.0000 5.2250" Properties=species:S:1:pos:R:3 pbc="T T T"
Zr 0.0000 0.0000 0.0000
Zr 1.7302 0.0000 3.8938
Zr 7.6739 0.0000 1.3311
Cd 4.7021 0.0000 2.6125
```

The energy of formation from the pure elements is -0.015 eV per atom. As for the crystal system: monoclinic. The space group is C2/m (12). The value obtained for the density of states at the Fermi level is 6.148 states/eV/cell.

=====

(7)
Compound: ZrCd
Source: Alexandria
Functional: PBEsol
Structure: relaxed

extended XYZ file:
```
6
Lattice="6.2609 -1.5771 0.0000 6.2609 1.5771 0.0000 -1.7423 0.0000 6.3715" Properties=species:S:1:pos:R:3 pbc="T T T"
Zr 0.0000 0.0000 0.0000
Zr -0.7750 0.0000 3.3065
Zr 6.9611 0.0000 5.3969
Cd 2.9918 0.0000 4.1911
Cd 3.9025 0.0000 1.2008
Cd 7.8000 0.0000 2.1279
```

The energy of formation from the pure elements is -0.117 eV per atom. As for the crystal system: monoclinic. The space group is Cm (8). The value obtained for the density of states at the Fermi level is 3.115 states/eV/cell.

=====

(8)
Compound: ZrCd
Source: Alexandria
Functional: PBEsol
Structure: relaxed

extended XYZ file:
```
2
Lattice="3.0519 0.0000 0.0000 0.0000 3.0519 0.0000 0.0000 0.0000 4.3919" Properties=species:S:1:pos:R:3 pbc="T T T"
Zr 0.0000 0.0000 0.0000
Cd 1.5260 1.5260 2.1960
```

The energy of formation from the pure elements is -0.149 eV per atom. As for the crystal system: tetragonal. The space group is P4/mmm (123). The value obtained for the density of states at the Fermi level is 2.094 states/eV/cell.

=====

(9)
Compound: Zr3Cd
Source: Alexandria
Functional: PBEsol
Structure: relaxed

extended XYZ file:
```
4
Lattice="3.1178 0.0000 0.0000 0.0000 3.1178 0.0000 0.0000 0.0000 8.8806" Properties=species:S:1:pos:R:3 pbc="T T T"
Zr 0.0000 0.0000 0.0000
Zr 1.5589 1.5589 2.2330
Zr 1.5589 1.5589 6.6476
Cd 0.0000 0.0000 4.4403
```

The energy of formation from the pure elements is -0.090 eV per atom. As for the crystal system: tetragonal. The space group is P4/mmm (123). The value obtained for the density of states at the Fermi level is 3.550 states/eV/cell.

=====

(10)
Compound: Zr3Cd
Source: Alexandria
Functional: PBEsol
Structure: relaxed

extended XYZ file:
```
8
Lattice="5.1415 0.0000 0.0000 0.0000 6.0827 0.0000 0.0000 0.0000 5.4617" Properties=species:S:1:pos:R:3 pbc="T T T"
Zr 1.2854 0.0049 0.8297
Zr 1.2854 1.5207 3.5412
Zr 1.2854 3.0364 0.8297
Zr 3.8561 3.0462 4.6320
Zr 3.8561 4.5620 1.9205
Zr 3.8561 6.0778 4.6320
Cd 1.2854 4.5620 3.6111
Cd 3.8561 1.5207 1.8507
```

The energy of formation from the pure elements is -0.060 eV per atom. As for the crystal system: orthorhombic. The space group is Pmmn (59). The value obtained for the density of states at the Fermi level is 7.896 states/eV/cell.

=====

(11)
Compound: ZrCd
Source: Alexandria
Functional: PBEsol
Structure: relaxed

extended XYZ file:
```
2
Lattice="1.5054 0.8691 5.2836 -1.5054 0.8691 5.2836 0.0000 -1.7383 5.2836" Properties=species:S:1:pos:R:3 pbc="T T T"
Zr 0.0000 0.0000 0.0000
Cd 0.0000 0.0000 7.9254
```

The energy of formation from the pure elements is -0.051 eV per atom. As for the crystal system: trigonal. The space group is R-3m (166). The value obtained for the density of states at the Fermi level is 1.016 states/eV/cell.

=====

(12)
Compound: ZrCd3
Source: Alexandria
Functional: PBEsol
Structure: relaxed

extended XYZ file:
```
4
Lattice="4.3345 0.0000 0.0000 0.0000 4.3345 0.0000 0.0000 0.0000 4.3345" Properties=species:S:1:pos:R:3 pbc="T T T"
Zr 0.0000 0.0000 0.0000
Cd 0.0000 2.1672 2.1672
Cd 2.1672 0.0000 2.1672
Cd 2.1672 2.1672 0.0000
```

The energy of formation from the pure elements is -0.144 eV per atom. As for the crystal system: cubic. The space group is Pm-3m (221). The value obtained for the density of states at the Fermi level is 3.341 states/eV/cell.

=====

(13)
Compound: ZrCd2
Source: Alexandria
Functional: PBEsol
Structure: relaxed

extended XYZ file:
```
6
Lattice="0.0000 3.9438 3.9438 3.9438 0.0000 3.9438 3.9438 3.9438 0.0000" Properties=species:S:1:pos:R:3 pbc="T T T"
Zr 0.9860 0.9860 0.9860
Zr 6.9017 6.9017 6.9017
Cd 3.9438 1.9719 1.9719
Cd 1.9719 3.9438 1.9719
Cd 1.9719 1.9719 3.9438
Cd 3.9438 3.9438 3.9438
```

The energy of formation from the pure elements is -0.070 eV per atom. As for the crystal system: cubic. The space group is Fd-3m (227). The value obtained for the density of states at the Fermi level is 4.573 states/eV/cell.

=====

(14)
Compound: Zr3Cd
Source: Alexandria
Functional: PBEsol
Structure: relaxed

extended XYZ file:
```
4
Lattice="4.3840 0.0000 0.0000 0.0000 4.3840 0.0000 0.0000 0.0000 4.3840" Properties=species:S:1:pos:R:3 pbc="T T T"
Zr 0.0000 0.0000 2.1920
Zr 0.0000 2.1920 0.0000
Zr 2.1920 0.0000 0.0000
Cd 2.1920 2.1920 2.1920
```

The energy of formation from the pure elements is -0.108 eV per atom. As for the crystal system: cubic. The space group is Pm-3m (221). The value obtained for the density of states at the Fermi level is 4.087 states/eV/cell.

=====

(15)
Compound: Zr5Cd
Source: Alexandria
Functional: PBEsol
Structure: relaxed

extended XYZ file:
```
6
Lattice="5.7782 -1.5541 0.0000 5.7782 1.5541 0.0000 -1.9593 0.0000 7.2580" Properties=species:S:1:pos:R:3 pbc="T T T"
Zr 0.0000 0.0000 0.0000
Zr -0.7649 0.0000 4.4943
Zr 3.9066 0.0000 2.0342
Zr 6.9536 0.0000 2.5115
Zr 6.4595 0.0000 6.9040
Cd 2.3823 0.0000 4.8430
```

The energy of formation from the pure elements is -0.024 eV per atom. As for the crystal system: monoclinic. The calculation puts the relative energy among the computed polymorphs at 24.7 meV per atom. The space group is Cm (8). The value obtained for the density of states at the Fermi level is 6.514 states/eV/cell.

=====

(16)
Compound: ZrCd3
Source: Alexandria
Functional: PBEsol
Structure: relaxed

extended XYZ file:
```
4
Lattice="2.9231 0.0000 0.0000 0.0000 4.3661 0.0000 0.0000 0.0000 6.3858" Properties=species:S:1:pos:R:3 pbc="T T T"
Zr 0.0000 0.0000 0.0000
Cd 0.0000 0.0000 3.1929
Cd 1.4616 2.1831 1.6006
Cd 1.4616 2.1831 4.7853
```

The energy of formation from the pure elements is -0.050 eV per atom. As for the crystal system: orthorhombic. The space group is Pmmm (47). The value obtained for the density of states at the Fermi level is 2.031 states/eV/cell.

=====

(17)
Compound: ZrCd5
Source: Alexandria
Functional: PBEsol
Structure: relaxed

extended XYZ file:
```
6
Lattice="3.1326 0.0000 0.0000 0.0000 3.1326 0.0000 0.0000 0.0000 12.4724" Properties=species:S:1:pos:R:3 pbc="T T T"
Zr 0.0000 0.0000 0.0000
Cd 0.0000 0.0000 4.1732
Cd 0.0000 0.0000 8.2992
Cd 1.5663 1.5663 2.1182
Cd 1.5663 1.5663 6.2362
Cd 1.5663 1.5663 10.3542
```

The energy of formation from the pure elements is -0.062 eV per atom. As for the crystal system: tetragonal. The space group is P4/mmm (123). The value obtained for the density of states at the Fermi level is 2.204 states/eV/cell.

=====

(18)
Compound: Zr3Cd
Source: Alexandria
Functional: PBEsol
Structure: relaxed

extended XYZ file:
```
4
Lattice="-2.1618 2.1618 4.5236 2.1618 -2.1618 4.5236 2.1618 2.1618 -4.5236" Properties=species:S:1:pos:R:3 pbc="T T T"
Zr 0.0000 0.0000 0.0000
Zr 2.1618 0.0000 2.2618
Zr 0.0000 2.1618 2.2618
Cd 0.0000 0.0000 4.5236
```

The energy of formation from the pure elements is -0.101 eV per atom. As for the crystal system: tetragonal. The space group is I4/mmm (139). The value obtained for the density of states at the Fermi level is 2.867 states/eV/cell.

=====

(19)
Compound: Zr6Cd7
Source: Alexandria
Functional: PBEsol
Structure: relaxed

extended XYZ file:
```
13
Lattice="2.7912 1.6115 9.9215 -2.7912 1.6115 9.9215 0.0000 -3.2230 9.9215" Properties=species:S:1:pos:R:3 pbc="T T T"
Zr 0.0000 0.0000 1.2915
Zr 0.0000 0.0000 4.4137
Zr 0.0000 0.0000 9.9323
Zr 0.0000 0.0000 19.8322
Zr 0.0000 0.0000 25.3508
Zr 0.0000 0.0000 28.4730
Cd -1.4170 -0.8181 12.6056
Cd 0.0000 -1.6362 17.1589
Cd -1.4170 0.8181 17.1589
Cd 0.0000 0.0000 14.8822
Cd 1.4170 -0.8181 12.6055
Cd 0.0000 1.6362 12.6055
Cd 1.4170 0.8181 17.1589
```

The energy of formation from the pure elements is -0.101 eV per atom. As for the crystal system: trigonal. The space group is R-3m (166). The value obtained for the density of states at the Fermi level is 12.473 states/eV/cell.

=====

(20)
Compound: ZrCd5
Source: Alexandria
Functional: PBEsol
Structure: relaxed

extended XYZ file:
```
6
Lattice="2.9917 0.0000 0.0000 0.0000 4.8037 0.0000 -0.0618 0.0000 8.5859" Properties=species:S:1:pos:R:3 pbc="T T T"
Zr 0.0000 0.0000 0.0000
Cd -0.0309 2.4019 4.2930
Cd 1.4253 0.0000 5.7358
Cd 1.4343 2.4019 7.1862
Cd 1.4955 2.4019 1.3997
Cd 1.5046 0.0000 2.8501
```

The energy of formation from the pure elements is -0.064 eV per atom. As for the crystal system: monoclinic. The space group is P2/m (10). The value obtained for the density of states at the Fermi level is 2.263 states/eV/cell.